This record from the Alexandria database describes a relaxed LiBiB crystal. The functional is PBE-GGA.

Its density of states at the Fermi level is 2.34 states/eV per cell. The value obtained for the calculated volume is 19.4 Å³ per atom. For the energy relative to the elements, the calculation gives 0.15 eV/atom. Its relative energy among the computed polymorphs is 0.202 eV per atom.

The space group is C2/m (No. 12) and the conventional cell measures 9.294, 3.620 and 6.927 Å, with angles of 90.00, 91.29 and 90.00 degrees. The distinct sites, in fractional coordinates, are Li at (0.145, 0.000, 0.107), Bi at (0.119, 0.000, 0.688) and B at (0.040, 0.500, 0.898).

***

This record from the Alexandria database describes a relaxed LiPaZn2 crystal. The functional is PBE-GGA.

Its density of states at the Fermi level is 9.10 states/eV per cell. The value obtained for the calculated volume is 19.0 Å³ per atom. For the energy relative to the elements, the calculation gives 0.00 eV/atom. Its relative energy among the computed polymorphs is 0.078 eV per atom.

The space group is R-3m (No. 166, hexagonal axes) and the conventional cell measures 2.9897, 2.9897 and 29.3913 Å, with angles of 90.00, 90.00 and 120.00 degrees. The distinct sites, in fractional coordinates, are Li at (0.0000, 0.0000, 0.0000), Pa at (0.0000, 0.0000, 0.5000) and Zn at (0.0000, 0.0000, 0.2569).

***

This record from the Alexandria database describes a relaxed Rb2Tl2Te crystal. The functional is PBE-GGA.

Its density of states at the Fermi level is 5.65 states/eV per cell. The value obtained for the calculated volume is 47.2 Å³ per atom. Its formation energy without anion corrections is -0.081 eV/atom. Its relative energy among the computed polymorphs is 0.226 eV per atom.

The space group is P4/mbm (No. 127) and the conventional cell measures 8.976, 8.976 and 5.857 Å, with angles of 90.00, 90.00 and 90.00 degrees. The distinct sites, in fractional coordinates, are Rb at (0.147, 0.353, 0.000), Tl at (0.161, 0.661, 0.500) and Te at (0.000, 0.000, 0.000).

***

This record from the Alexandria database describes a relaxed CuHgSe2 crystal. The functional is PBE-GGA.

Its density of states at the Fermi level is 5.17 states/eV per cell. The value obtained for the calculated volume is 23.6 Å³ per atom. Its formation energy without anion corrections is -0.059 eV/atom.

The space group is Cm (No. 8) and the conventional cell measures 7.408, 3.994 and 7.220 Å, with angles of 90.00, 117.76 and 90.00 degrees. The distinct sites, in fractional coordinates, are Cu at (0.000, 0.000, 0.000), Hg at (0.073, 0.000, 0.428), Se at (0.342, 0.500, 0.626) and Se at (0.360, 0.000, 0.092).

***

This record from the Alexandria database describes a relaxed Ta2ReMo6W2 crystal. The functional is PBE-GGA.

Its density of states at the Fermi level is 41.95 states/eV per cell. The value obtained for the calculated volume is 23.4 Å³ per atom. For the energy relative to the elements, the calculation gives 1.96 eV/atom.

The space group is R-3m (No. 166, hexagonal axes) and the conventional cell measures 8.3523, 8.3523 and 12.7955 Å, with angles of 90.00, 90.00 and 120.00 degrees. The distinct sites, in fractional coordinates, are Ta at (0.0000, 0.0000, 0.1838), Re at (0.0000, 0.0000, 0.0000), Mo at (0.0095, 0.5048, 0.1156) and W at (0.0000, 0.0000, 0.3887).

***

This record from the Alexandria database describes a relaxed AcTbDy6 crystal. The functional is PBE-GGA.

Its density of states at the Fermi level is 11.60 states/eV per cell. The value obtained for the calculated volume is 32.9 Å³ per atom. For the energy relative to the elements, the calculation gives 0.04 eV/atom. Its relative energy among the computed polymorphs is 0.000 eV per atom.

The space group is P4/mmm (No. 123) and the conventional cell measures 5.089, 5.089 and 10.172 Å, with angles of 90.00, 90.00 and 90.00 degrees. The distinct sites, in fractional coordinates, are Ac at (0.000, 0.000, 0.000), Tb at (0.000, 0.000, 0.500), Dy at (0.000, 0.500, 0.258), Dy at (0.500, 0.500, 0.000) and Dy at (0.500, 0.500, 0.500).